No. 1
The following is a DFT calculation (SCAN) of a PBEsol-optimized structure of SrLi2As.

Summary:
uncorrected energy: -12.170 eV/atom
crystal system: orthorhombic
symmetry: No. 69
ΔE_f: -0.36 eV/atom

Cell lengths 4.3603, 4.3603, 6.0402 Å; angles 110.45, 110.45, 91.83 degrees
Last column: nearest neighbours and their distance in Å.
Fractional positions:
1 Sr 0.5000 0.5000 0.0000  4 As 3.03-3.13, 4 Li 3.05
2 As 0.0000 0.0000 0.0000  4 Sr 3.03-3.13, 4 Li 3.05
3 Li 0.5000 0.0000 0.5000  4 Li 3.03-3.13, 2 As 3.05, 2 Sr 3.05
4 Li 0.0000 0.5000 0.5000  4 Li 3.03-3.13, 2 Sr 3.05, 2 As 3.05


No. 2
The following is a DFT calculation (SCAN) of a PBEsol-optimized structure of Sr3LiAs.

Summary:
uncorrected energy: -18.416 eV/atom
crystal system: cubic
symmetry: No. 221
ΔE_f: -0.53 eV/atom

Cell lengths 6.0053, 6.0053, 6.0053 Å; angles 90.00, 90.00, 90.00 degrees
Last column: nearest neighbours and their distance in Å.
Fractional positions:
1 Sr 0.0000 0.5000 0.0000  2 As 3.00
2 Sr 0.0000 0.0000 0.5000  2 As 3.00
3 Sr 0.5000 0.0000 0.0000  2 As 3.00
4 As 0.0000 0.0000 0.0000  6 Sr 3.00
5 Li 0.5000 0.5000 0.5000  12 Sr 4.25